VASP calculation (PBE-GGA) on crystalline LaPr8Tm2 at its relaxed geometry.

ΔE to the lowest computed polymorph	0.00	eV/f.u.
Fermi-level density of states	1.5037	states/eV per atom
DFT formation energy	0.104	eV/atom

Cell: 5.727 8.458 9.569 Å, 116.23 107.41 90.00°
Fractional coordinates of all 11 atoms:
La 0.500 0.000 0.000
Pr 0.640 0.844 0.281
Pr 0.360 0.563 0.719
Pr 0.163 0.163 0.326
Pr 0.000 0.295 0.000
Pr 0.837 0.837 0.674
Pr 0.640 0.437 0.281
Pr 0.360 0.156 0.719
Pr 0.000 0.705 0.000
Tm 0.200 0.700 0.400
Tm 0.800 0.300 0.600